w) Here is BeGeCl2 after structural relaxation from Alexandria. Energies are from PBE-GGA.

Cell: 6.379 6.379 6.379 Å, 120.18 120.18 89.68°
Fractional positions:
Be1 0.000 0.000 0.000
Be2 0.750 0.250 0.500
Ge1 0.250 0.750 0.500
Ge2 0.500 0.500 0.000
Cl1 0.375 0.208 0.333
Cl2 0.792 0.125 0.167
Cl3 0.875 0.042 0.667
Cl4 0.958 0.625 0.833

Values from the calculation:
density of states at the Fermi level = 5.929 states/eV per cell
SG = I-42d
M_tot = 0.00 μB/cell

x) Here is BeGeCl2 after structural relaxation from Alexandria. Energies are from PBE-GGA.

Cell: 4.775 4.775 4.775 Å, 60.00 60.00 60.00°
Fractional positions:
Be1 0.000 0.000 0.000
Ge1 0.500 0.500 0.500
Cl1 0.250 0.250 0.250
Cl2 0.750 0.750 0.750

Values from the calculation:
density of states at the Fermi level = 2.160 states/eV per cell
SG = Fm-3m
M_tot = 0.31 μB/cell

y) Here is BeGeCl2 after structural relaxation from Alexandria. Energies are from PBE-GGA.

Cell: 11.934 11.934 11.934 Å, 15.10 15.10 15.10°
Fractional positions:
Be1 0.000 0.000 0.000
Ge1 0.500 0.500 0.500
Cl1 0.370 0.370 0.370
Cl2 0.630 0.630 0.630

Values from the calculation:
density of states at the Fermi level = 0.808 states/eV per cell
SG = R-3m
M_tot = 0.00 μB/cell

Most favorable first, least favorable last: y), w), x)

w) Here is BeGeP2Cl after structural relaxation from Alexandria. Energies are from PBE-GGA.

Cell: 4.742 4.742 4.806 Å, 90.00 90.00 90.00°
Fractional positions:
Be1 0.000 0.000 0.000
Ge1 0.500 0.500 0.500
P1 0.000 0.500 0.500
P2 0.500 0.000 0.500
Cl1 0.500 0.500 0.000

Values from the calculation:
density of states at the Fermi level = 4.222 states/eV per cell
SG = P4/mmm
M_tot = 0.20 μB/cell

x) Here is BeGeP2Cl after structural relaxation from Alexandria. Energies are from PBE-GGA.

Cell: 4.163 4.163 5.296 Å, 90.00 90.00 90.00°
Fractional positions:
Be1 0.000 0.000 0.000
Ge1 0.500 0.500 0.500
P1 0.000 0.500 0.000
P2 0.500 0.000 0.000
Cl1 0.000 0.000 0.500

Values from the calculation:
density of states at the Fermi level = 2.487 states/eV per cell
SG = P4/mmm
M_tot = 0.00 μB/cell

Most favorable first, least favorable last: x), w)

w) Here is Rb2BeGeCl6 after structural relaxation from Alexandria. Energies are from PBE-GGA.

Cell: 7.089 7.089 7.089 Å, 120.32 120.32 89.44°
Fractional positions:
Rb1 0.250 0.750 0.500
Rb2 0.750 0.250 0.500
Be1 0.000 0.000 0.000
Ge1 0.500 0.500 0.000
Cl1 0.232 0.232 0.464
Cl2 0.232 0.768 0.000
Cl3 0.236 0.236 0.000
Cl4 0.764 0.764 0.000
Cl5 0.768 0.232 0.000
Cl6 0.768 0.768 0.536

Values from the calculation:
density of states at the Fermi level = 0.000 states/eV per cell
SG = I4/mmm
M_tot = 0.00 μB/cell

x) Here is Rb2BeGeCl6 after structural relaxation from Alexandria. Energies are from PBE-GGA.

Cell: 7.293 7.296 8.803 Å, 65.53 89.97 60.03°
Fractional positions:
Rb1 0.000 0.000 0.000
Rb2 0.499 0.001 0.498
Be1 0.229 0.541 0.689
Ge1 0.778 0.443 0.336
Cl1 0.003 0.478 0.682
Cl2 0.037 0.471 0.181
Cl3 0.159 0.837 0.682
Cl4 0.493 0.856 0.181
Cl5 0.518 0.322 0.682
Cl6 0.652 0.312 0.181

Values from the calculation:
density of states at the Fermi level = 0.000 states/eV per cell
SG = P1
M_tot = 0.00 μB/cell

Most favorable first, least favorable last: x), w)